[1]
Below is a relaxed structure of Pr3ZrO, with properties calculated at the PBE level.

DFT total energy = -6.580 eV/atom
Volume = 128.60 Å³/cell
SG = Pm-3m, No. 221

a = 5.048 Å, b = 5.048 Å, c = 5.048 Å
α = 90.00°, β = 90.00°, γ = 90.00°
Sites, in units of the cell vectors:
Pr (0.000, 0.000, 0.500)
Pr (0.000, 0.500, 0.000)
Pr (0.500, 0.000, 0.000)
Zr (0.500, 0.500, 0.500)
O (0.000, 0.000, 0.000)

[2]
Below is a relaxed structure of PtO3, with properties calculated at the PBE level.

DFT total energy = -5.305 eV/atom
Volume = 178.47 Å³/cell
SG = Pnma, No. 62

a = 5.026 Å, b = 7.213 Å, c = 4.922 Å
α = 90.00°, β = 90.00°, γ = 90.00°
Sites, in units of the cell vectors:
Pt (0.000, 0.000, 0.000)
Pt (0.000, 0.500, 0.000)
Pt (0.500, 0.000, 0.500)
Pt (0.500, 0.500, 0.500)
O (0.051, 0.250, 0.155)
O (0.151, 0.077, 0.647)
O (0.151, 0.423, 0.647)
O (0.349, 0.577, 0.147)
O (0.349, 0.923, 0.147)
O (0.449, 0.750, 0.655)
O (0.551, 0.250, 0.345)
O (0.651, 0.077, 0.853)
O (0.651, 0.423, 0.853)
O (0.849, 0.577, 0.353)
O (0.849, 0.923, 0.353)
O (0.949, 0.750, 0.845)

[3]
Below is a relaxed structure of Pt2O5, with properties calculated at the PBE level.

DFT total energy = -5.533 eV/atom
Volume = 156.06 Å³/cell
SG = C2/c, No. 15

a = 6.631 Å, b = 6.631 Å, c = 5.318 Å
α = 98.80°, β = 98.80°, γ = 42.57°
Sites, in units of the cell vectors:
Pt (0.095, 0.620, 0.708)
Pt (0.380, 0.905, 0.792)
Pt (0.620, 0.095, 0.208)
Pt (0.905, 0.380, 0.292)
O (0.000, 0.174, 0.950)
O (0.000, 0.826, 0.050)
O (0.174, 0.000, 0.450)
O (0.210, 0.391, 0.362)
O (0.391, 0.210, 0.862)
O (0.432, 0.568, 0.750)
O (0.568, 0.432, 0.250)
O (0.609, 0.790, 0.138)
O (0.790, 0.609, 0.638)
O (0.826, 0.000, 0.550)

[4]
Below is a relaxed structure of PtO2, with properties calculated at the PBE level.

DFT total energy = -4.994 eV/atom
Volume = 90.27 Å³/cell
SG = Pn-3m, No. 224

a = 4.486 Å, b = 4.486 Å, c = 4.486 Å
α = 90.00°, β = 90.00°, γ = 90.00°
Sites, in units of the cell vectors:
Pt (0.250, 0.250, 0.250)
Pt (0.750, 0.750, 0.750)
O (0.000, 0.000, 0.000)
O (0.000, 0.500, 0.500)
O (0.500, 0.000, 0.500)
O (0.500, 0.500, 0.000)

[5]
Below is a relaxed structure of PtO2, with properties calculated at the PBE level.

DFT total energy = -5.776 eV/atom
Volume = 40.78 Å³/cell
SG = P-3m1, No. 164

a = 3.164 Å, b = 3.164 Å, c = 4.705 Å
α = 90.00°, β = 90.00°, γ = 120.00°
Sites, in units of the cell vectors:
Pt (0.000, 0.000, 0.000)
O (0.333, 0.667, 0.799)
O (0.667, 0.333, 0.201)

[6]
Below is a relaxed structure of PtO3, with properties calculated at the PBE level.

DFT total energy = -5.318 eV/atom
Volume = 88.43 Å³/cell
SG = R-3c, No. 167

a = 5.118 Å, b = 5.118 Å, c = 5.118 Å
α = 57.10°, β = 57.10°, γ = 57.10°
Sites, in units of the cell vectors:
Pt (0.000, 0.000, 0.000)
Pt (0.500, 0.500, 0.500)
O (0.074, 0.750, 0.426)
O (0.250, 0.574, 0.926)
O (0.426, 0.074, 0.750)
O (0.574, 0.926, 0.250)
O (0.750, 0.426, 0.074)
O (0.926, 0.250, 0.574)

[7]
Below is a relaxed structure of PtO2, with properties calculated at the PBE level.

DFT total energy = -5.695 eV/atom
Volume = 124.34 Å³/cell
SG = Pa-3, No. 205

a = 4.991 Å, b = 4.991 Å, c = 4.991 Å
α = 90.00°, β = 90.00°, γ = 90.00°
Sites, in units of the cell vectors:
Pt (0.000, 0.000, 0.000)
Pt (0.000, 0.500, 0.500)
Pt (0.500, 0.000, 0.500)
Pt (0.500, 0.500, 0.000)
O (0.154, 0.654, 0.846)
O (0.154, 0.846, 0.346)
O (0.346, 0.154, 0.846)
O (0.346, 0.346, 0.346)
O (0.654, 0.654, 0.654)
O (0.654, 0.846, 0.154)
O (0.846, 0.154, 0.654)
O (0.846, 0.346, 0.154)

[8]
Below is a relaxed structure of PtO2, with properties calculated at the PBE level.

DFT total energy = -5.743 eV/atom
Volume = 68.60 Å³/cell
SG = P4_2/mnm, No. 136

a = 4.591 Å, b = 4.591 Å, c = 3.254 Å
α = 90.00°, β = 90.00°, γ = 90.00°
Sites, in units of the cell vectors:
Pt (0.000, 0.000, 0.000)
Pt (0.500, 0.500, 0.500)
O (0.190, 0.190, 0.500)
O (0.310, 0.690, 0.000)
O (0.690, 0.310, 0.000)
O (0.810, 0.810, 0.500)